The following is a DFT calculation (PBE) of a relaxed Gd3Sb5O12 crystal.

Unit cell a=9.5176 b=9.5176 c=9.5176 alpha=109.47 beta=109.47 gamma=109.47
Sites, in units of the cell vectors:
Gd: 0.2500 0.5000 0.7500
Gd: 0.2500 0.7500 0.5000
Gd: 0.5000 0.2500 0.7500
Gd: 0.5000 0.7500 0.2500
Gd: 0.7500 0.2500 0.5000
Gd: 0.7500 0.5000 0.2500
Sb: 0.0000 0.0000 0.5106
Sb: 0.0000 0.2821 0.2821
Sb: 0.0000 0.5106 0.0000
Sb: 0.0000 0.7179 0.7179
Sb: 0.2821 0.0000 0.2821
Sb: 0.2821 0.2821 0.0000
Sb: 0.4894 0.4894 0.4894
Sb: 0.5106 0.0000 0.0000
Sb: 0.7179 0.0000 0.7179
Sb: 0.7179 0.7179 0.0000
O: 0.0000 0.1997 0.4756
O: 0.0000 0.4756 0.1997
O: 0.0000 0.5051 0.7061
O: 0.0000 0.7061 0.5051
O: 0.1997 0.0000 0.4756
O: 0.1997 0.4756 0.0000
O: 0.2010 0.4949 0.4949
O: 0.2759 0.8003 0.8003
O: 0.2939 0.2939 0.7990
O: 0.2939 0.7990 0.2939
O: 0.4756 0.0000 0.1997
O: 0.4756 0.1997 0.0000
O: 0.4949 0.2010 0.4949
O: 0.4949 0.4949 0.2010
O: 0.5051 0.0000 0.7061
O: 0.5051 0.7061 0.0000
O: 0.5244 0.5244 0.7241
O: 0.5244 0.7241 0.5244
O: 0.7061 0.0000 0.5051
O: 0.7061 0.5051 0.0000
O: 0.7241 0.5244 0.5244
O: 0.7990 0.2939 0.2939
O: 0.8003 0.2759 0.8003
O: 0.8003 0.8003 0.2759

Values from the calculation:
Raw formation energy   -2.21 eV/atom
Uncorrected energy   -8.327 eV/atom
DOS(E_F)   0.0000 states/eV per atom
V   331.8 Å³/f.u.
Space-group type   I-43m

The following is a DFT calculation (PBE) of a relaxed ReAg2N crystal.

Unit cell a=6.3736 b=6.3736 c=6.3736 alpha=95.14 beta=95.14 gamma=145.17
Sites, in units of the cell vectors:
Re: 0.0000 0.0000 0.0000
Re: 0.7500 0.2500 0.5000
Ag: 0.2419 0.6250 0.1169
Ag: 0.3750 0.4919 0.6169
Ag: 0.5081 0.1250 0.8831
Ag: 0.8750 0.7581 0.3831
N: 0.2500 0.7500 0.5000
N: 0.5000 0.5000 0.0000

Values from the calculation:
Raw formation energy   0.95 eV/atom
Uncorrected energy   -5.673 eV/atom
DOS(E_F)   0.6205 states/eV per atom
V   70.5 Å³/f.u.
Space-group type   I-42d

The following is a DFT calculation (PBE) of a relaxed CaCu12Si4 crystal.

Unit cell a=7.0468 b=7.0468 c=7.0468 alpha=109.47 beta=109.47 gamma=109.47
Sites, in units of the cell vectors:
Ca: 0.0000 0.0000 0.0000
Cu: 0.1579 0.3528 0.5107
Cu: 0.1579 0.6472 0.8052
Cu: 0.1948 0.8421 0.3528
Cu: 0.3528 0.1948 0.8421
Cu: 0.3528 0.5107 0.1579
Cu: 0.4893 0.8421 0.6472
Cu: 0.5107 0.1579 0.3528
Cu: 0.6472 0.4893 0.8421
Cu: 0.6472 0.8052 0.1579
Cu: 0.8052 0.1579 0.6472
Cu: 0.8421 0.3528 0.1948
Cu: 0.8421 0.6472 0.4893
Si: 0.0000 0.0000 0.5000
Si: 0.0000 0.5000 0.0000
Si: 0.5000 0.0000 0.0000
Si: 0.5000 0.5000 0.5000

Values from the calculation:
Raw formation energy   0.29 eV/atom
Uncorrected energy   -3.994 eV/atom
DOS(E_F)   0.6147 states/eV per atom
V   269.4 Å³/f.u.
Space-group type   Im-3

The following is a DFT calculation (PBE) of a relaxed ThHgBr4 crystal.

Unit cell a=7.1731 b=7.9517 c=10.6660 alpha=106.29 beta=109.48 gamma=90.00
Sites, in units of the cell vectors:
Th: 0.0000 0.0000 0.0000
Th: 0.5000 0.5000 0.0000
Hg: 0.0674 0.7508 0.4996
Hg: 0.9326 0.2492 0.5004
Br: 0.1340 0.6597 0.8860
Br: 0.2530 0.1597 0.8860
Br: 0.2994 0.0609 0.2506
Br: 0.4491 0.5608 0.2506
Br: 0.5509 0.4392 0.7494
Br: 0.7006 0.9391 0.7494
Br: 0.7470 0.8403 0.1140
Br: 0.8660 0.3403 0.1140

Values from the calculation:
Raw formation energy   -1.36 eV/atom
Uncorrected energy   -3.758 eV/atom
DOS(E_F)   0.0000 states/eV per atom
V   273.8 Å³/f.u.
Space-group type   P-1

The following is a DFT calculation (PBE) of a relaxed NaErSi2O6 crystal.

Unit cell a=7.0087 b=7.0087 c=5.4670 alpha=102.45 beta=102.45 gamma=86.21
Sites, in units of the cell vectors:
Na: 0.1900 0.8100 0.7500
Na: 0.8100 0.1900 0.2500
Er: 0.3878 0.6122 0.2500
Er: 0.6122 0.3878 0.7500
Si: 0.1261 0.2931 0.7433
Si: 0.2931 0.1261 0.2433
Si: 0.7069 0.8739 0.7567
Si: 0.8739 0.7069 0.2567
O: 0.0958 0.6257 0.3175
O: 0.1475 0.1599 0.9685
O: 0.1599 0.1475 0.4685
O: 0.2989 0.4557 0.8417
O: 0.3743 0.9042 0.1825
O: 0.4557 0.2989 0.3417
O: 0.5443 0.7011 0.6583
O: 0.6257 0.0958 0.8175
O: 0.7011 0.5443 0.1583
O: 0.8401 0.8525 0.5315
O: 0.8525 0.8401 0.0315
O: 0.9042 0.3743 0.6825

Values from the calculation:
Raw formation energy   -2.92 eV/atom
Uncorrected energy   -7.570 eV/atom
DOS(E_F)   0.0000 states/eV per atom
V   128.0 Å³/f.u.
Space-group type   C2/c

The following is a DFT calculation (PBE) of a relaxed Re2MoP crystal.

Unit cell a=5.0529 b=5.0529 c=4.3013 alpha=90.94 beta=90.94 gamma=33.49
Sites, in units of the cell vectors:
Re: 0.2189 0.2189 0.2405
Re: 0.7811 0.7811 0.7595
Mo: 0.5000 0.5000 0.0000
P: 0.0000 0.0000 0.5000

Values from the calculation:
ΔH_f (0 K)   17 kJ/mol of atoms
Uncorrected energy   -10.109 eV/atom
DOS(E_F)   0.7828 states/eV per atom
V   60.6 Å³/f.u.
Space-group type   C2/m

The following is a DFT calculation (PBE) of a relaxed B3ICl crystal.

Unit cell a=4.6380 b=4.6380 c=4.6380 alpha=90.00 beta=90.00 gamma=90.00
Sites, in units of the cell vectors:
B: 0.0000 0.0000 0.5000
B: 0.0000 0.5000 0.0000
B: 0.5000 0.0000 0.0000
I: 0.5000 0.5000 0.5000
Cl: 0.0000 0.0000 0.0000

Values from the calculation:
Raw formation energy   2.43 eV/atom
Uncorrected energy   -2.255 eV/atom
DOS(E_F)   0.2473 states/eV per atom
Energy above the lowest structure with this stoichiometry   0 meV/atom
V   99.8 Å³/f.u.
Space-group type   Pm-3m

The following is a DFT calculation (PBE) of a relaxed Zr2CuPt crystal.

Unit cell a=4.6273 b=4.6273 c=4.6273 alpha=60.00 beta=60.00 gamma=60.00
Sites, in units of the cell vectors:
Zr: 0.0000 0.0000 0.0000
Zr: 0.2500 0.2500 0.2500
Cu: 0.7500 0.7500 0.7500
Pt: 0.5000 0.5000 0.5000

Values from the calculation:
ΔH_f (0 K)   -32 kJ/mol of atoms
Uncorrected energy   -7.137 eV/atom
DOS(E_F)   0.9132 states/eV per atom
V   70.1 Å³/f.u.
Space-group type   F-43m

The following is a DFT calculation (PBE) of a relaxed Ta3MoIr crystal.

Unit cell a=4.7986 b=4.7986 c=4.7986 alpha=90.00 beta=90.00 gamma=90.00
Sites, in units of the cell vectors:
Ta: 0.0000 0.0000 0.5000
Ta: 0.0000 0.5000 0.0000
Ta: 0.5000 0.0000 0.0000
Mo: 0.5000 0.5000 0.5000
Ir: 0.0000 0.0000 0.0000

Values from the calculation:
ΔH_f (0 K)   132 kJ/mol of atoms
Uncorrected energy   -9.684 eV/atom
DOS(E_F)   1.4480 states/eV per atom
Energy above the lowest structure with this stoichiometry   0 meV/atom
V   110.5 Å³/f.u.
Space-group type   Pm-3m

The following is a DFT calculation (PBE) of a relaxed Tm5Co4Ru crystal.

Unit cell a=3.3171 b=3.3171 c=16.3438 alpha=90.00 beta=90.00 gamma=90.00
Sites, in units of the cell vectors:
Tm: 0.0000 0.0000 0.0000
Tm: 0.0000 0.0000 0.1987
Tm: 0.0000 0.0000 0.3984
Tm: 0.0000 0.0000 0.6016
Tm: 0.0000 0.0000 0.8013
Co: 0.5000 0.5000 0.0992
Co: 0.5000 0.5000 0.2957
Co: 0.5000 0.5000 0.7043
Co: 0.5000 0.5000 0.9008
Ru: 0.5000 0.5000 0.5000

Values from the calculation:
ΔH_f (0 K)   -26 kJ/mol of atoms
Uncorrected energy   -6.272 eV/atom
DOS(E_F)   0.6051 states/eV per atom
V   179.8 Å³/f.u.
Space-group type   P4/mmm

The following is a DFT calculation (PBE) of a relaxed K2NdI5 crystal.

Unit cell a=9.0376 b=9.0376 c=9.2111 alpha=119.34 beta=119.34 gamma=90.00
Sites, in units of the cell vectors:
K: 0.2497 0.7503 0.0000
K: 0.7503 0.2497 0.0000
Nd: 0.0836 0.0836 0.6663
I: 0.3770 0.9076 0.7841
I: 0.3775 0.3775 0.7849
I: 0.8615 0.8615 0.2208
I: 0.9072 0.9072 0.7833
I: 0.9076 0.3770 0.7841

Values from the calculation:
Raw formation energy   -1.37 eV/atom
Uncorrected energy   -3.206 eV/atom
DOS(E_F)   0.0000 states/eV per atom
Energy above the lowest structure with this stoichiometry   92 meV/atom
V   542.5 Å³/f.u.
Space-group type   Cm

The following is a DFT calculation (PBE) of a relaxed Cs2Sn2Hg5 crystal.

Unit cell a=12.3517 b=12.3517 c=12.3517 alpha=55.99 beta=142.17 gamma=140.31
Sites, in units of the cell vectors:
Cs: 0.0491 0.1328 0.1819
Cs: 0.0491 0.3672 0.4164
Cs: 0.9509 0.6328 0.5836
Cs: 0.9509 0.8672 0.8181
Sn: 0.3387 0.3387 0.0000
Sn: 0.3387 0.8387 0.5000
Sn: 0.5543 0.8122 0.2421
Sn: 0.5701 0.3122 0.7579
Hg: 0.0639 0.5474 0.0165
Hg: 0.4670 0.6237 0.0785
Hg: 0.4670 0.8885 0.3432
Hg: 0.5308 0.0474 0.9835
Hg: 0.5306 0.1938 0.3111
Hg: 0.5306 0.7195 0.8368
Hg: 0.5452 0.1237 0.6568
Hg: 0.5452 0.3885 0.9215
Hg: 0.8827 0.2195 0.6889
Hg: 0.8827 0.6938 0.1632

Values from the calculation:
ΔH_f (0 K)   -15 kJ/mol of atoms
Uncorrected energy   -1.398 eV/atom
DOS(E_F)   0.3203 states/eV per atom
V   366.2 Å³/f.u.
Space-group type   Ima2